1.
The following is a DFT calculation (PBE) of a relaxed La2AsAu2 crystal.

Properties
ΔE to the lowest computed polymorph ... 66 meV/atom
Symmetry ... P4/mbm (127)
Formation energy from the elements ... -0.7781 eV per atom

Cell lengths 8.205, 8.205, 4.185 Å; angles 90.00, 90.00, 90.00 degrees
Element x y z (fractional)
La (0.175, 0.325, 0.000)
La (0.325, 0.825, 0.000)
La (0.675, 0.175, 0.000)
La (0.825, 0.675, 0.000)
As (0.000, 0.000, 0.000)
As (0.500, 0.500, 0.000)
Au (0.124, 0.624, 0.500)
Au (0.376, 0.124, 0.500)
Au (0.624, 0.876, 0.500)
Au (0.876, 0.376, 0.500)

2.
The following is a DFT calculation (PBE) of a relaxed NbRhC3 crystal.

Properties
ΔE to the lowest computed polymorph ... 130 meV/atom
Symmetry ... Pm-3m (221)
Formation energy from the elements ... 2.2554 eV per atom

Cell lengths 4.121, 4.121, 4.121 Å; angles 90.00, 90.00, 90.00 degrees
Element x y z (fractional)
Nb (0.000, 0.000, 0.000)
Rh (0.500, 0.500, 0.500)
C (0.000, 0.000, 0.500)
C (0.000, 0.500, 0.000)
C (0.500, 0.000, 0.000)